Entry 1:
DFT (GGA-PBE) results for crystalline Sc6Pt5Rh at its relaxed geometry.

Cell and atoms, written as POSCAR:
```
Sc6Pt5Rh
1.0
4.586 0.002 -0.915
-0.003 6.510 -0.001
-0.809 0.000 7.312
Sc Pt Rh
6 5 1
Direct
0.836 0.248 0.670 Sc
0.164 0.752 0.330 Sc
0.500 0.751 0.000 Sc
0.836 0.752 0.670 Sc
0.164 0.248 0.330 Sc
0.500 0.249 0.000 Sc
0.339 0.000 0.672 Pt
0.333 0.500 0.663 Pt
0.667 0.500 0.337 Pt
0.661 0.000 0.328 Pt
0.000 0.500 0.000 Pt
0.000 0.000 0.000 Rh
```

Summary:
symmetry	No. 10
calculated formation energy	-116.3	kJ per mole of atoms

Entry 2:
DFT (GGA-PBE) results for crystalline La3CePb2S at its relaxed geometry.

Cell and atoms, written as POSCAR:
```
La3CePb2S
1.0
-5.219 0.196 0.792
-0.709 -3.789 -3.735
3.641 -4.191 7.417
S La Pb Ce
1 3 2 1
Direct
0.000 0.000 0.000 S
0.170 0.170 0.341 La
0.000 0.500 0.000 La
0.830 0.830 0.659 La
0.366 0.366 0.733 Pb
0.634 0.634 0.267 Pb
0.500 0.000 0.000 Ce
```

Summary:
symmetry	No. 71
formation energy (no corrections)	-0.84	eV per atom

Entry 3:
DFT (GGA-PBE) results for crystalline CeNi4Pb at its relaxed geometry.

Cell and atoms, written as POSCAR:
```
CeNi4Pb
1.0
-3.282 -3.270 2.082
-0.533 -4.656 -1.959
1.716 -4.041 2.554
Ce Ni Pb
1 4 1
Direct
0.250 0.250 0.250 Ce
0.625 0.625 0.124 Ni
0.625 0.625 0.625 Ni
0.625 0.124 0.625 Ni
0.124 0.625 0.625 Ni
0.000 0.000 0.000 Pb
```

Summary:
symmetry	No. 216
calculated formation energy	-24.5	kJ per mole of atoms

Entry 4:
DFT (GGA-PBE) results for crystalline AgTe2 at its relaxed geometry.

Cell and atoms, written as POSCAR:
```
AgTe2
1.0
4.323 0.000 0.000
-2.161 3.744 0.000
0.000 0.000 5.946
Ag Te
1 2
Direct
0.333 0.667 0.500 Ag
0.000 0.000 0.767 Te
0.000 0.000 0.233 Te
```

Summary:
symmetry	No. 187
formation energy (no corrections)	0.09	eV per atom